## NiMoRu2 (PBE)

Data for NiMoRu2 after structural relaxation.

Results
E above lowest polymorph = 0.19 eV/f.u.
formation energy = 0.032 eV/atom

a = 5.461 Å, b = 5.484 Å, c = 7.337 Å
α = 90.00°, β = 90.00°, γ = 90.00°
Space group Fmmm (No. 69)
Symmetry-distinct sites (fractional):
Ni (0.000, 0.000, 0.000)
Mo (0.000, 0.000, 0.500)
Ru (0.250, 0.250, 0.250)